## A
VASP calculation (PBE) on a relaxed Ac2ErMg crystal.

Results
Its space group is R-3m. The volume is 39.22 Å³ per atom. As for the density of states at the Fermi level: 1.11 states/eV/atom.

Cell lengths 3.7336, 3.7336, 13.1735 Å; angles 81.85, 81.85, 60.00 degrees
Fractional positions:
Mg 0.0000 0.0000 0.0000
Er 0.5000 0.5000 0.5000
Ac 0.0905 0.0905 0.7286
Ac 0.9095 0.9095 0.2714


## B
VASP calculation (PBE) on a relaxed Ac2ErMg crystal.

Results
Its space group is P4/mmm. The volume is 36.16 Å³ per atom. As for the density of states at the Fermi level: 1.16 states/eV/atom.

Cell lengths 4.0222, 5.9967, 5.9967 Å; angles 90.00, 90.00, 90.00 degrees
Fractional positions:
Ac 0.0000 0.5000 0.0000
Er 0.5000 0.0000 0.0000
Mg 0.5000 0.5000 0.5000
Ac 0.0000 0.0000 0.5000


## C
VASP calculation (PBE) on a relaxed Ac2ErMg crystal.

Results
Its space group is Fm-3m. The volume is 36.02 Å³ per atom. As for the density of states at the Fermi level: 0.92 states/eV/atom.

Cell lengths 5.8842, 5.8842, 5.8842 Å; angles 60.00, 60.00, 60.00 degrees
Fractional positions:
Ac 0.7500 0.7500 0.7500
Ac 0.2500 0.2500 0.2500
Mg 0.5000 0.5000 0.5000
Er 0.0000 0.0000 0.0000


Most stable: B. Least stable: A.


## A
VASP calculation (PBE) on a relaxed AcEr2Mg crystal.

Results
Its space group is R-3m. The volume is 33.22 Å³ per atom. As for the density of states at the Fermi level: 1.45 states/eV/atom.

Cell lengths 3.5316, 3.5316, 12.4714 Å; angles 81.86, 81.86, 60.00 degrees
Fractional positions:
Er 0.9039 0.9039 0.2882
Er 0.0961 0.0961 0.7118
Mg 0.5000 0.5000 0.5000
Ac 0.0000 0.0000 0.0000


## B
VASP calculation (PBE) on a relaxed AcEr2Mg crystal.

Results
Its space group is Fm-3m. The volume is 32.15 Å³ per atom. As for the density of states at the Fermi level: 1.73 states/eV/atom.

Cell lengths 5.6658, 5.6658, 5.6658 Å; angles 60.00, 60.00, 60.00 degrees
Fractional positions:
Er 0.7500 0.7500 0.7500
Mg 0.5000 0.5000 0.5000
Ac 0.0000 0.0000 0.0000
Er 0.2500 0.2500 0.2500


## C
VASP calculation (PBE) on a relaxed AcEr2Mg crystal.

Results
Its space group is P4/mmm. The volume is 32.47 Å³ per atom. As for the density of states at the Fermi level: 1.69 states/eV/atom.

Cell lengths 5.2053, 4.9955, 4.9955 Å; angles 90.00, 90.00, 90.00 degrees
Fractional positions:
Er 0.0000 0.0000 0.5000
Ac 0.5000 0.5000 0.5000
Mg 0.5000 0.0000 0.0000
Er 0.0000 0.5000 0.0000


## D
VASP calculation (PBE) on a relaxed AcEr2Mg crystal.

Results
Its space group is R3m. The volume is 32.82 Å³ per atom. As for the density of states at the Fermi level: 1.38 states/eV/atom.

Cell lengths 3.6587, 3.6587, 11.5195 Å; angles 80.86, 80.86, 60.00 degrees
Fractional positions:
Mg 0.6664 0.6664 0.0008
Er 0.2582 0.2582 0.2253
Ac 0.5003 0.5003 0.4991
Er 0.0751 0.0751 0.7748


Most stable: C. Least stable: A.


## A
VASP calculation (PBE) on a relaxed AcEr2Mn crystal.

Results
Its space group is R-3m. The volume is 31.20 Å³ per atom. As for the density of states at the Fermi level: 1.27 states/eV/atom.

Cell lengths 3.5284, 3.5284, 11.7543 Å; angles 81.37, 81.37, 60.00 degrees
Fractional positions:
Mn 0.0000 0.0000 0.0000
Er 0.0794 0.0794 0.7618
Er 0.9206 0.9206 0.2382
Ac 0.5000 0.5000 0.5000


## B
VASP calculation (PBE) on a relaxed AcEr2Mn crystal.

Results
Its space group is P4/mmm. The volume is 29.32 Å³ per atom. As for the density of states at the Fermi level: 1.47 states/eV/atom.

Cell lengths 3.5870, 3.5870, 9.1152 Å; angles 90.00, 90.00, 90.00 degrees
Fractional positions:
Mn 0.5000 0.5000 0.0000
Ac 0.5000 0.5000 0.5000
Er 0.0000 0.0000 0.1830
Er 0.0000 0.0000 0.8170


Most stable: B. Least stable: A.


## A
VASP calculation (PBE) on a relaxed AcEr2N crystal.

Results
Its space group is P4/mmm. The volume is 23.66 Å³ per atom. As for the density of states at the Fermi level: 1.15 states/eV/atom.

Cell lengths 3.2669, 3.2669, 8.8658 Å; angles 90.00, 90.00, 90.00 degrees
Fractional positions:
Er 0.0000 0.0000 0.8415
N 0.5000 0.5000 0.0000
Ac 0.5000 0.5000 0.5000
Er 0.0000 0.0000 0.1585


## B
VASP calculation (PBE) on a relaxed AcEr2N crystal.

Results
Its space group is R-3m. The volume is 26.14 Å³ per atom. As for the density of states at the Fermi level: 1.25 states/eV/atom.

Cell lengths 3.5026, 3.5026, 10.0466 Å; angles 79.96, 79.96, 60.00 degrees
Fractional positions:
Ac 0.0000 0.0000 0.0000
Er 0.8774 0.8774 0.3677
N 0.5000 0.5000 0.5000
Er 0.1226 0.1226 0.6323


Most stable: B. Least stable: A.


## A
VASP calculation (PBE) on a relaxed AcNdEr crystal.

Results
Its space group is P2_1/m. The volume is 37.00 Å³ per atom. As for the density of states at the Fermi level: 1.59 states/eV/atom.

Cell lengths 3.6815, 5.6315, 10.8668 Å; angles 90.00, 99.83, 90.00 degrees
Fractional positions:
Nd 0.6084 0.7500 0.7144
Er 0.0414 0.2500 0.5777
Nd 0.3916 0.2500 0.2856
Er 0.9586 0.7500 0.4223
Ac 0.7960 0.7500 0.0926
Ac 0.2040 0.2500 0.9074


## B
VASP calculation (PBE) on a relaxed AcNdEr crystal.

Results
Its space group is P-62m. The volume is 36.69 Å³ per atom. As for the density of states at the Fermi level: 1.48 states/eV/atom.

Cell lengths 3.6915, 10.1638, 10.1638 Å; angles 120.00, 90.00, 90.00 degrees
Fractional positions:
Ac 0.5000 0.3062 0.3062
Er 0.5000 0.3333 0.6667
Er 0.0000 0.0000 0.0000
Nd 0.0000 0.6402 0.6402
Ac 0.5000 0.0000 0.6938
Er 0.5000 0.6667 0.3333
Nd 0.0000 0.0000 0.3598
Nd 0.0000 0.3598 0.0000
Ac 0.5000 0.6938 0.0000


## C
VASP calculation (PBE) on a relaxed AcNdEr crystal.

Results
Its space group is P-6m2. The volume is 36.54 Å³ per atom. As for the density of states at the Fermi level: 1.41 states/eV/atom.

Cell lengths 3.6111, 5.9208, 5.9208 Å; angles 120.00, 90.00, 90.00 degrees
Fractional positions:
Er 0.1663 0.3333 0.6667
Ac 0.1671 0.0000 0.0000
Nd 0.6667 0.6667 0.3333


Most stable: A. Least stable: C.


## A
VASP calculation (PBE) on a relaxed Ac2Nd8Er crystal.

Results
Its space group is C2/m. The volume is 37.06 Å³ per atom. As for the density of states at the Fermi level: 1.35 states/eV/atom.

Cell lengths 8.1253, 10.1054, 10.1054 Å; angles 40.53, 52.12, 52.12 degrees
Fractional positions:
Nd 0.7827 0.1946 0.6655
Nd 0.7942 0.2560 0.2560
Nd 0.2173 0.3345 0.8054
Ac 0.5924 0.8261 0.8261
Nd 0.2058 0.7440 0.7440
Nd 0.2173 0.8054 0.3345
Ac 0.4076 0.1739 0.1739
Nd 0.7588 0.6054 0.6054
Nd 0.7827 0.6655 0.1946
Nd 0.2412 0.3946 0.3946
Er 0.0000 0.0000 0.0000


## B
VASP calculation (PBE) on a relaxed Ac2Nd8Er crystal.

Results
Its space group is C2/m. The volume is 37.87 Å³ per atom. As for the density of states at the Fermi level: 1.51 states/eV/atom.

Cell lengths 5.7956, 10.6613, 10.6613 Å; angles 39.31, 93.30, 93.30 degrees
Fractional positions:
Er 0.0000 0.0000 0.0000
Nd 0.2679 0.6160 0.1413
Nd 0.7663 0.4556 0.4556
Nd 0.2679 0.1413 0.6160
Nd 0.7321 0.3840 0.8587
Ac 0.2585 0.7191 0.7191
Nd 0.2337 0.5444 0.5444
Nd 0.7321 0.8587 0.3840
Nd 0.7768 0.8247 0.8247
Ac 0.7415 0.2809 0.2809
Nd 0.2232 0.1753 0.1753


Most stable: A. Least stable: B.


## A
VASP calculation (PBE) on a relaxed Ac2Nd6Er crystal.

Results
Its space group is P-6m2. The volume is 37.13 Å³ per atom. As for the density of states at the Fermi level: 1.65 states/eV/atom.

Cell lengths 3.7429, 3.7429, 27.5466 Å; angles 90.00, 90.00, 120.00 degrees
Fractional positions:
Nd 0.3333 0.6667 0.7895
Ac 0.6667 0.3333 0.6729
Ac 0.6667 0.3333 0.3271
Nd 0.3333 0.6667 0.5619
Nd 0.3333 0.6667 0.4381
Nd 0.3333 0.6667 0.2105
Nd 0.6667 0.3333 0.1033
Er 0.3333 0.6667 0.0000
Nd 0.6667 0.3333 0.8967


## B
VASP calculation (PBE) on a relaxed Ac2Nd6Er crystal.

Results
Its space group is C2/c. The volume is 36.69 Å³ per atom. As for the density of states at the Fermi level: 1.52 states/eV/atom.

Cell lengths 9.3597, 9.3213, 9.3597 Å; angles 66.87, 66.32, 66.87 degrees
Fractional positions:
Er 0.2427 0.2500 0.7573
Nd 0.8383 0.1641 0.9971
Nd 0.9191 0.9193 0.4089
Nd 0.1479 0.5151 0.3294
Nd 0.8521 0.4849 0.6706
Ac 0.6723 0.3209 0.5142
Er 0.7573 0.7500 0.2427
Nd 0.3294 0.0151 0.1479
Ac 0.3277 0.6791 0.4858
Nd 0.4089 0.4193 0.9191
Nd 0.9971 0.6641 0.8383
Ac 0.5142 0.8209 0.6723
Nd 0.1617 0.8359 0.0029
Ac 0.4858 0.1791 0.3277
Nd 0.5911 0.5807 0.0809
Nd 0.6706 0.9849 0.8521
Nd 0.0029 0.3359 0.1617
Nd 0.0809 0.0807 0.5911


Most stable: A. Least stable: B.


## A
VASP calculation (PBE) on a relaxed AcNd3Er2 crystal.

Results
Its space group is Immm. The volume is 36.08 Å³ per atom. As for the density of states at the Fermi level: 1.80 states/eV/atom.

Cell lengths 3.5346, 6.1966, 10.5067 Å; angles 107.15, 99.68, 90.00 degrees
Fractional positions:
Ac 0.0000 0.0000 0.0000
Er 0.3612 0.3612 0.7223
Nd 0.8086 0.8086 0.6172
Nd 0.1914 0.1914 0.3828
Er 0.6388 0.6388 0.2777
Nd 0.0000 0.5000 0.0000


## B
VASP calculation (PBE) on a relaxed AcNd3Er2 crystal.

Results
Its space group is Fddd. The volume is 35.12 Å³ per atom. As for the density of states at the Fermi level: 1.66 states/eV/atom.

Cell lengths 6.3626, 6.3626, 12.1701 Å; angles 110.28, 110.28, 70.94 degrees
Fractional positions:
Ac 0.8749 0.1251 0.7500
Ac 0.1251 0.8749 0.2500
Nd 0.2096 0.4596 0.4193
Nd 0.4596 0.2096 0.9193
Nd 0.6246 0.3754 0.2500
Nd 0.3754 0.6246 0.7500
Er 0.7091 0.9593 0.4181
Nd 0.5404 0.7904 0.0807
Nd 0.7904 0.5404 0.5807
Er 0.0407 0.2909 0.0819
Er 0.2909 0.0407 0.5819
Er 0.9593 0.7091 0.9181


Most stable: B. Least stable: A.


## A
VASP calculation (PBE) on a relaxed AcNd2Er crystal.

Results
Its space group is P4/mmm. The volume is 36.39 Å³ per atom. As for the density of states at the Fermi level: 1.77 states/eV/atom.

Cell lengths 3.7394, 3.7394, 10.4084 Å; angles 90.00, 90.00, 90.00 degrees
Fractional positions:
Er 0.5000 0.5000 0.0000
Nd 0.0000 0.0000 0.2350
Ac 0.5000 0.5000 0.5000
Nd 0.0000 0.0000 0.7650


## B
VASP calculation (PBE) on a relaxed AcNd2Er crystal.

Results
Its space group is R-3m. The volume is 36.84 Å³ per atom. As for the density of states at the Fermi level: 1.57 states/eV/atom.

Cell lengths 3.6438, 3.6438, 12.9865 Å; angles 81.94, 81.94, 60.00 degrees
Fractional positions:
Er 0.0000 0.0000 0.0000
Nd 0.9131 0.9131 0.2606
Nd 0.0869 0.0869 0.7394
Ac 0.5000 0.5000 0.5000


## C
VASP calculation (PBE) on a relaxed AcNd2Er crystal.

Results
Its space group is P4/mmm. The volume is 36.08 Å³ per atom. As for the density of states at the Fermi level: 1.60 states/eV/atom.

Cell lengths 5.2783, 5.2289, 5.2289 Å; angles 90.00, 90.00, 90.00 degrees
Fractional positions:
Nd 0.0000 0.0000 0.5000
Er 0.5000 0.5000 0.5000
Nd 0.0000 0.5000 0.0000
Ac 0.5000 0.0000 0.0000


## D
VASP calculation (PBE) on a relaxed AcNd2Er crystal.

Results
Its space group is R3m. The volume is 36.41 Å³ per atom. As for the density of states at the Fermi level: 1.39 states/eV/atom.

Cell lengths 3.7324, 3.7324, 12.2613 Å; angles 81.25, 81.25, 60.00 degrees
Fractional positions:
Ac 0.5000 0.5000 0.5001
Nd 0.0791 0.0791 0.7627
Er 0.6665 0.6665 0.0004
Nd 0.2544 0.2544 0.2368


Most stable: C. Least stable: B.


## A
VASP calculation (PBE) on a relaxed AcNd2Er crystal.

Results
Its space group is Fm-3m. The volume is 36.66 Å³ per atom. As for the density of states at the Fermi level: 2.56 states/eV/atom.

Cell lengths 5.9192, 5.9192, 5.9192 Å; angles 60.00, 60.00, 60.00 degrees
Fractional positions:
Nd 0.7500 0.7500 0.7500
Ac 0.5000 0.5000 0.5000
Nd 0.2500 0.2500 0.2500
Er 0.0000 0.0000 0.0000


## B
VASP calculation (PBE) on a relaxed AcNd2Er crystal.

Results
Its space group is I-4m2. The volume is 36.22 Å³ per atom. As for the density of states at the Fermi level: 1.51 states/eV/atom.

Cell lengths 5.2883, 5.2885, 6.3890 Å; angles 65.55, 65.55, 90.00 degrees
Fractional positions:
Nd 0.7500 0.2500 0.5001
Er 0.5000 0.5000 0.0000
Ac 0.2500 0.7500 0.5000
Nd 0.0000 0.0000 0.0000


Most stable: B. Least stable: A.